(1)
Below is Si2PbBrN after structural relaxation, with properties calculated at the PBEsol level.

```
Si2PbBrN
1.0
4.9596 0.0000 0.0000
0.0000 4.9596 0.0000
0.0000 0.0000 4.0928
Si Pb Br N
2 1 1 1
Direct
0.0000 0.5000 0.0000
0.5000 0.0000 0.0000
0.0000 0.0000 0.5000
0.5000 0.5000 0.0000
0.5000 0.5000 0.5000
```

SG: P4/mmm (123)
Total magnetic moment: 0.000 μB per cell
E_form (uncorrected): 1.45 eV per atom
Uncorrected energy: -3.726 eV/atom

(2)
Below is FeTeRu2 after structural relaxation, with properties calculated at the PBEsol level.

```
FeTeRu2
1.0
-1.5464 2.1554 4.3930
1.5464 -2.1554 4.3930
1.5464 2.1554 -4.3930
Fe Te Ru
1 1 2
Direct
0.0000 0.0000 0.0000
0.2349 0.7349 0.5000
0.4743 0.4743 0.0000
0.7544 0.2544 0.5000
```

SG: Imm2 (44)
Total magnetic moment: 3.315 μB per cell
E_form (uncorrected): 0.44 eV per atom
Uncorrected energy: -7.767 eV/atom

(3)
Below is BiAsPd6 after structural relaxation, with properties calculated at the PBEsol level.

```
BiAsPd6
1.0
2.2440 1.2956 7.2892
-2.2440 1.2956 7.2892
0.0000 -2.5911 7.2892
Bi As Pd
1 1 6
Direct
0.0000 0.0000 0.0000
0.5000 0.5000 0.5000
0.1332 0.1332 0.1332
0.2559 0.2559 0.2559
0.3866 0.3866 0.3866
0.6134 0.6134 0.6134
0.7441 0.7441 0.7441
0.8668 0.8668 0.8668
```

SG: R-3m (166)
Total magnetic moment: 0.000 μB per cell
Formation enthalpy at 0 K: -1.9 eV per formula unit
Uncorrected energy: -5.879 eV/atom